(1)
This record from the Alexandria database describes crystalline KNa2AgAs at its relaxed geometry. The functional is PBE-GGA.

Output
- ΔH_f (0 K) (eV per atom) = -0.14
- raw total energy (eV per atom) = -2.3887

Cell: 5.6710 5.6710 5.1952 Å, 90.00 90.00 90.00°
Space group P4/mmm (No. 123)
One atom of each set of equivalent atoms:
1 K 0.0000 0.0000 0.0000 [1 per cell]
2 Na 0.0000 0.5000 0.5000 [2 per cell]
3 Ag 0.5000 0.5000 0.0000 [1 per cell]
4 As 0.5000 0.5000 0.5000 [1 per cell]

---

(2)
This record from the Alexandria database describes crystalline TiNb2W8 at its relaxed geometry. The functional is PBE-GGA.

Output
- ΔH_f (0 K) (eV per atom) = -0.07
- raw total energy (eV per atom) = -12.0356

Cell: 3.2010 7.1527 8.3220 Å, 104.88 101.03 90.08°
Space group P-1 (No. 2)
One atom of each set of equivalent atoms:
1 Ti 0.0000 0.0000 0.0000 [1 per cell]
2 Nb 0.2722 0.3597 0.5449 [2 per cell]
3 W 0.0887 0.4503 0.1775 [2 per cell]
4 W 0.1797 0.9107 0.3593 [2 per cell]
5 W 0.3651 0.8207 0.7297 [2 per cell]
6 W 0.4545 0.2754 0.9089 [2 per cell]

---

(3)
This record from the Alexandria database describes crystalline ZrTc2Ir at its relaxed geometry. The functional is PBE-GGA.

Output
- ΔH_f (0 K) (eV per atom) = -0.14
- excess energy over the best structure of this formula in the dataset (meV/atom) = 43
- raw total energy (eV per atom) = -9.6744

Cell: 2.9841 2.9841 7.4035 Å, 90.00 90.00 90.00°
Space group P4mm (No. 99)
One atom of each set of equivalent atoms:
1 Zr 0.0000 0.0000 0.0000 [1 per cell]
2 Tc 0.0000 0.0000 0.5166 [1 per cell]
3 Tc 0.5000 0.5000 0.7128 [1 per cell]
4 Ir 0.5000 0.5000 0.2652 [1 per cell]

---

(4)
This record from the Alexandria database describes crystalline Mg14MnB at its relaxed geometry. The functional is PBE-GGA.

Output
- ΔH_f (0 K) (eV per atom) = 0.22
- excess energy over the best structure of this formula in the dataset (meV/atom) = 13
- raw total energy (eV per atom) = -2.1651

Cell: 6.2447 6.2447 9.7229 Å, 90.00 90.00 120.00°
Space group P-6m2 (No. 187)
One atom of each set of equivalent atoms:
1 Mg 0.0000 0.0000 0.2472 [2 per cell]
2 Mg 0.0175 0.5087 0.2592 [6 per cell]
3 Mg 0.3273 0.1637 0.5000 [3 per cell]
4 Mg 0.3390 0.1695 0.0000 [3 per cell]
5 Mn 0.3333 0.6667 0.0000 [1 per cell]
6 B 0.3333 0.6667 0.5000 [1 per cell]

---

(5)
This record from the Alexandria database describes crystalline Tl4Hg6As at its relaxed geometry. The functional is PBE-GGA.

Output
- ΔH_f (0 K) (eV per atom) = 0.03
- raw total energy (eV per atom) = -1.4144

Cell: 10.7165 10.7165 6.9106 Å, 90.00 90.00 120.00°
Space group P6_3mc (No. 186)
One atom of each set of equivalent atoms:
1 Tl 0.1745 0.3491 0.0000 [6 per cell]
2 Tl 0.3333 0.6667 0.6689 [2 per cell]
3 Hg 0.0329 0.5164 0.2923 [6 per cell]
4 Hg 0.1703 0.3407 0.5025 [6 per cell]
5 As 0.3333 0.6667 0.0963 [2 per cell]

---

(6)
This record from the Alexandria database describes crystalline Hf2FeOsRu at its relaxed geometry. The functional is PBE-GGA.

Output
- ΔH_f (0 K) (eV per atom) = 0.64
- raw total energy (eV per atom) = -9.1387

Cell: 4.6842 4.6842 4.2889 Å, 90.00 90.00 90.00°
Space group P4/mmm (No. 123)
One atom of each set of equivalent atoms:
1 Hf 0.0000 0.5000 0.0000 [2 per cell]
2 Fe 0.0000 0.0000 0.0000 [1 per cell]
3 Os 0.0000 0.0000 0.5000 [1 per cell]
4 Ru 0.5000 0.5000 0.5000 [1 per cell]

---

(7)
This record from the Alexandria database describes crystalline Th6RuPt2Rh3 at its relaxed geometry. The functional is PBE-GGA.

Output
- ΔH_f (0 K) (eV per atom) = -0.95
- raw total energy (eV per atom) = -8.2737

Cell: 18.0011 4.1203 8.2861 Å, 90.00 103.34 90.00°
Space group C2/m (No. 12)
One atom of each set of equivalent atoms:
1 Th 0.0023 0.0000 0.2572 [4 per cell]
2 Th 0.1630 0.5000 0.5773 [4 per cell]
3 Th 0.1637 0.5000 0.0897 [4 per cell]
4 Ru 0.0000 0.5000 0.5000 [2 per cell]
5 Pt 0.1678 0.0000 0.8370 [4 per cell]
6 Rh 0.0000 0.5000 0.0000 [2 per cell]
7 Rh 0.1706 0.0000 0.3347 [4 per cell]

---

(8)
This record from the Alexandria database describes crystalline CoMo2Ir at its relaxed geometry. The functional is PBE-GGA.

Output
- ΔH_f (0 K) (eV per atom) = -0.12
- excess energy over the best structure of this formula in the dataset (meV/atom) = 13
- raw total energy (eV per atom) = -9.5268

Cell: 2.7388 4.3555 4.7540 Å, 90.00 90.00 90.00°
Space group Pmm2 (No. 25)
One atom of each set of equivalent atoms:
1 Co 0.0000 0.0000 0.0000 [1 per cell]
2 Mo 0.5000 0.0000 0.4871 [1 per cell]
3 Mo 0.5000 0.5000 0.1376 [1 per cell]
4 Ir 0.0000 0.5000 0.6522 [1 per cell]

---

(9)
This record from the Alexandria database describes crystalline Tb6Sm5Th2 at its relaxed geometry. The functional is PBE-GGA.

Output
- ΔH_f (0 K) (eV per atom) = 0.11
- raw total energy (eV per atom) = -4.9845

Cell: 11.5573 20.9506 3.5884 Å, 90.00 90.00 90.00°
Space group Pbam (No. 55)
One atom of each set of equivalent atoms:
1 Tb 0.0633 0.1476 0.0000 [4 per cell]
2 Tb 0.0806 0.4375 0.0000 [4 per cell]
3 Tb 0.1856 0.8764 0.5000 [4 per cell]
4 Sm 0.0000 0.0000 0.5000 [2 per cell]
5 Sm 0.0646 0.2940 0.5000 [4 per cell]
6 Sm 0.1904 0.5789 0.5000 [4 per cell]
7 Th 0.1899 0.7351 0.0000 [4 per cell]

---

(10)
This record from the Alexandria database describes crystalline Tb6Si3S14 at its relaxed geometry. The functional is PBE-GGA.

Output
- formation energy (no corrections) (eV/atom) = -1.52
- raw total energy (eV per atom) = -5.9514

Cell: 9.9521 9.9521 5.6730 Å, 90.00 90.00 120.00°
Space group P3 (No. 143)
One atom of each set of equivalent atoms:
1 Tb 0.0276 0.5666 0.0000 [3 per cell]
2 Tb 0.3108 0.1030 0.5109 [3 per cell]
3 Si 0.0000 0.0000 0.9237 [1 per cell]
4 Si 0.3333 0.6667 0.4137 [1 per cell]
5 Si 0.6667 0.3333 0.2662 [1 per cell]
6 S 0.0000 0.0000 0.2946 [1 per cell]
7 S 0.0794 0.8542 0.7722 [3 per cell]
8 S 0.1863 0.4411 0.2645 [3 per cell]
9 S 0.3333 0.6667 0.7858 [1 per cell]
10 S 0.4189 0.1750 0.0367 [3 per cell]
11 S 0.5002 0.4239 0.5257 [3 per cell]

---

(11)
This record from the Alexandria database describes crystalline CaZn2Cr at its relaxed geometry. The functional is PBE-GGA.

Output
- ΔH_f (0 K) (eV per atom) = 0.21
- raw total energy (eV per atom) = -3.3287

Cell: 3.3554 4.9166 9.5130 Å, 90.00 90.00 90.00°
Space group Imm2 (No. 44)
One atom of each set of equivalent atoms:
1 Ca 0.0000 0.0000 0.0000 [2 per cell]
2 Zn 0.0000 0.0000 0.5187 [2 per cell]
3 Zn 0.0000 0.5000 0.2276 [2 per cell]
4 Cr 0.0000 0.5000 0.7900 [2 per cell]

---

(12)
This record from the Alexandria database describes crystalline Sr3ZnO at its relaxed geometry. The functional is PBE-GGA.

Output
- excess energy over the best structure of this formula in the dataset (meV/atom) = 0
- formation energy (no corrections) (eV/atom) = -1.09
- raw total energy (eV per atom) = -3.3483

Cell: 5.1989 5.1989 5.1989 Å, 90.00 90.00 90.00°
Space group Pm-3m (No. 221)
One atom of each set of equivalent atoms:
1 Sr 0.0000 0.0000 0.5000 [3 per cell]
2 Zn 0.5000 0.5000 0.5000 [1 per cell]
3 O 0.0000 0.0000 0.0000 [1 per cell]

---

What is the formula in the third record? ZrTc2Ir

---

Look up the raw total energy of the sixth one. -9.1387 eV per atom